Entry 1:
SiTeRhI2: optimized geometry, GGA-PBE.

Summary:
Total magnetization, μB/atom: 0.0000
SG: No. 123
Density of states at the Fermi level, states/eV per atom: 0.549
Relative energy among the computed polymorphs, meV per atom: 0.0

Structure (POSCAR):
```
SiTeRhI2
1.0
5.3390 0.0000 0.0000
0.0000 5.3390 0.0000
0.0000 0.0000 5.2564
Si Te Rh I
1 1 1 2
Direct
0.0000 0.0000 0.0000 Si
0.5000 0.5000 0.0000 Te
0.5000 0.5000 0.5000 Rh
0.0000 0.5000 0.5000 I
0.5000 0.0000 0.5000 I
```


Entry 2:
SiTe2RhI: optimized geometry, GGA-PBE.

Summary:
Total magnetization, μB/atom: 0.4541
SG: No. 123
Density of states at the Fermi level, states/eV per atom: 1.222
Relative energy among the computed polymorphs, meV per atom: 349.4

Structure (POSCAR):
```
SiTe2RhI
1.0
5.2405 0.0000 0.0000
0.0000 5.2405 0.0000
0.0000 0.0000 5.3718
Si Te Rh I
1 2 1 1
Direct
0.0000 0.0000 0.0000 Si
0.0000 0.5000 0.0000 Te
0.5000 0.0000 0.0000 Te
0.5000 0.5000 0.5000 Rh
0.0000 0.0000 0.5000 I
```


Entry 3:
SiTe2RhI: optimized geometry, GGA-PBE.

Summary:
Total magnetization, μB/atom: 0.0000
SG: No. 123
Density of states at the Fermi level, states/eV per atom: 0.863
Relative energy among the computed polymorphs, meV per atom: 0.0

Structure (POSCAR):
```
SiTe2RhI
1.0
5.2220 0.0000 0.0000
0.0000 5.2220 0.0000
0.0000 0.0000 5.3269
Si Te Rh I
1 2 1 1
Direct
0.0000 0.0000 0.0000 Si
0.0000 0.5000 0.5000 Te
0.5000 0.0000 0.5000 Te
0.5000 0.5000 0.5000 Rh
0.5000 0.5000 0.0000 I
```


Entry 4:
Sm4Rh2I5: optimized geometry, GGA-PBE.

Summary:
Total magnetization, μB/atom: 0.0002
Uncorrected energy, eV per atom: -4.22
SG: No. 71
Density of states at the Fermi level, states/eV per atom: 0.658

Structure (POSCAR):
```
Sm4Rh2I5
1.0
-1.9848 4.8810 9.6398
1.9848 -4.8810 9.6398
1.9848 4.8810 -9.6398
Sm Rh I
4 2 5
Direct
0.1652 0.1652 0.0000 Sm
0.2017 0.5000 0.7017 Sm
0.7983 0.5000 0.2983 Sm
0.8348 0.8348 0.0000 Sm
0.2907 0.2907 0.0000 Rh
0.7093 0.7093 0.0000 Rh
0.0968 0.3420 0.7548 I
0.4128 0.6580 0.7548 I
0.5000 0.0000 0.5000 I
0.5872 0.3420 0.2452 I
0.9032 0.6580 0.2452 I
```


Entry 5:
SmRhI: optimized geometry, GGA-PBE.

Summary:
Total magnetization, μB/atom: 0.0000
Uncorrected energy, eV per atom: -5.57
SG: No. 166
Density of states at the Fermi level, states/eV per atom: 0.209

Structure (POSCAR):
```
SmRhI
1.0
2.1717 1.2538 11.6296
-2.1717 1.2538 11.6296
0.0000 -2.5077 11.6296
Sm Rh I
2 2 2
Direct
0.0521 0.0521 0.0521 Sm
0.9479 0.9479 0.9479 Sm
0.3342 0.3342 0.3342 Rh
0.6658 0.6658 0.6658 Rh
0.2215 0.2215 0.2215 I
0.7785 0.7785 0.7785 I
```


Entry 6:
Sm3RhI3: optimized geometry, GGA-PBE.

Summary:
Total magnetization, μB/atom: 0.0003
Uncorrected energy, eV per atom: -4.84
SG: No. 11
Density of states at the Fermi level, states/eV per atom: 0.751

Structure (POSCAR):
```
Sm3RhI3
1.0
9.2842 0.0000 0.0000
0.0000 4.1854 0.0000
-0.5276 0.0000 12.4526
Sm Rh I
6 2 6
Direct
0.1029 0.2500 0.3860 Sm
0.1131 0.2500 0.8356 Sm
0.3025 0.7500 0.6177 Sm
0.6975 0.2500 0.3823 Sm
0.8869 0.7500 0.1644 Sm
0.8971 0.7500 0.6140 Sm
0.1020 0.2500 0.6157 Rh
0.8980 0.7500 0.3843 Rh
0.1402 0.2500 0.1125 I
0.3714 0.7500 0.8732 I
0.3975 0.7500 0.3669 I
0.6025 0.2500 0.6331 I
0.6286 0.2500 0.1268 I
0.8598 0.7500 0.8875 I
```